Entry 1:
Material: ErCdH6Rh2
Method: DFT, PBE
State: optimized geometry

a = 7.7063 Å, b = 9.3483 Å, c = 5.5708 Å
α = 90.00°, β = 106.14°, γ = 90.00°
Space group C2/c (No. 15)
Unique sites:
Er: 0.0000 0.1630 0.2500
Cd: 0.0000 0.3803 0.7500
H: 0.0792 0.3911 0.1407
H: 0.1624 0.0010 0.0612
H: 0.2047 0.2426 0.6150
Rh: 0.1993 0.1177 0.8218

Summary:
The calculation puts the density of states at the Fermi level at 9.19 states/eV/cell. The value obtained for the total DFT energy (no corrections) is -4.3212 eV/atom. For the magnetic moment, the calculation gives 0.0 μB/cell.


Entry 2:
Material: ErHfCd
Method: DFT, PBE
State: optimized geometry

a = 3.3373 Å, b = 3.3373 Å, c = 13.0715 Å
α = 90.00°, β = 90.00°, γ = 90.00°
Space group I4mm (No. 107)
Unique sites:
Er: 0.0000 0.0000 0.0000
Hf: 0.0000 0.0000 0.3313
Cd: 0.0000 0.0000 0.6758

Summary:
The calculation puts the density of states at the Fermi level at 3.86 states/eV/cell. The energy above the most stable polymorph in this dataset is 0 meV/atom. For the magnetic moment, the calculation gives 0.0 μB/cell. The value obtained for the calculated formation energy is -93 meV/atom.


Entry 3:
Material: ErHfCd
Method: DFT, PBE
State: optimized geometry

a = 3.2964 Å, b = 3.2964 Å, c = 13.4087 Å
α = 90.00°, β = 90.00°, γ = 90.00°
Space group P4/nmm (No. 129, origin choice 2)
Unique sites:
Er: 0.2500 0.2500 0.2466
Hf: 0.2500 0.2500 0.5778
Cd: 0.2500 0.2500 0.9253

Summary:
The calculation puts the density of states at the Fermi level at 7.39 states/eV/cell. The energy above the most stable polymorph in this dataset is 24 meV/atom. For the magnetic moment, the calculation gives 0.0 μB/cell. The value obtained for the calculated formation energy is -69 meV/atom.


Entry 4:
Material: Er5HfCd4
Method: DFT, PBE
State: optimized geometry

a = 3.5090 Å, b = 3.5090 Å, c = 20.8695 Å
α = 90.00°, β = 90.00°, γ = 90.00°
Space group P4/mmm (No. 123)
Unique sites:
Er: 0.0000 0.0000 0.0000
Er: 0.0000 0.0000 0.1944
Er: 0.0000 0.0000 0.3957
Hf: 0.5000 0.5000 0.5000
Cd: 0.5000 0.5000 0.0964
Cd: 0.5000 0.5000 0.2922

Summary:
The calculation puts the density of states at the Fermi level at 7.87 states/eV/cell. For the magnetic moment, the calculation gives 0.0 μB/cell. The value obtained for the calculated formation energy is -215 meV/atom.


Entry 5:
Material: ErHfCd
Method: DFT, PBE
State: optimized geometry

a = 3.7150 Å, b = 3.7150 Å, c = 23.7842 Å
α = 90.00°, β = 90.00°, γ = 90.00°
Space group I4/mmm (No. 139)
Unique sites:
Er: 0.0000 0.0000 0.1419
Hf: 0.0000 0.0000 0.2775
Cd: 0.0000 0.0000 0.4410

Summary:
The calculation puts the density of states at the Fermi level at 13.35 states/eV/cell. The energy above the most stable polymorph in this dataset is 160 meV/atom. For the magnetic moment, the calculation gives 0.0 μB/cell. The value obtained for the calculated formation energy is 67 meV/atom.


Entry 6:
Material: ErHf2Cd
Method: DFT, PBE
State: optimized geometry

a = 3.1030 Å, b = 3.1030 Å, c = 34.8168 Å
α = 90.00°, β = 90.00°, γ = 120.00°
Space group R-3m (No. 166, hexagonal axes)
Unique sites:
Er: 0.0000 0.0000 0.0000
Hf: 0.0000 0.0000 0.0916
Cd: 0.0000 0.0000 0.5000

Summary:
The calculation puts the density of states at the Fermi level at 16.08 states/eV/cell. For the magnetic moment, the calculation gives 0.0 μB/cell. The value obtained for the calculated formation energy is 344 meV/atom.


Entry 7:
Material: ErHfCdHg
Method: DFT, PBE
State: optimized geometry

a = 7.1812 Å, b = 7.1812 Å, c = 7.1812 Å
α = 90.00°, β = 90.00°, γ = 90.00°
Space group F-43m (No. 216)
Unique sites:
Er: 0.0000 0.0000 0.0000
Hf: 0.0000 0.0000 0.5000
Cd: 0.2500 0.2500 0.2500
Hg: 0.2500 0.2500 0.7500

Summary:
The calculation puts the density of states at the Fermi level at 12.74 states/eV/cell. For the magnetic moment, the calculation gives 3.8 μB/cell. The value obtained for the calculated formation energy is -111 meV/atom.


Entry 8:
Material: ErHfCdIn
Method: DFT, PBE
State: optimized geometry

a = 7.1955 Å, b = 7.1955 Å, c = 7.1955 Å
α = 90.00°, β = 90.00°, γ = 90.00°
Space group F-43m (No. 216)
Unique sites:
Er: 0.0000 0.0000 0.0000
Hf: 0.0000 0.0000 0.5000
Cd: 0.2500 0.2500 0.2500
In: 0.2500 0.2500 0.7500

Summary:
The calculation puts the density of states at the Fermi level at 9.78 states/eV/cell. For the magnetic moment, the calculation gives 0.0 μB/cell. The value obtained for the calculated formation energy is -149 meV/atom.


Entry 9:
Material: ErHfMgCd
Method: DFT, PBE
State: optimized geometry

a = 7.2059 Å, b = 7.2059 Å, c = 7.2059 Å
α = 90.00°, β = 90.00°, γ = 90.00°
Space group F-43m (No. 216)
Unique sites:
Er: 0.0000 0.0000 0.0000
Hf: 0.0000 0.0000 0.5000
Mg: 0.2500 0.2500 0.7500
Cd: 0.2500 0.2500 0.2500

Summary:
The calculation puts the density of states at the Fermi level at 18.38 states/eV/cell. For the magnetic moment, the calculation gives 0.0 μB/cell. The value obtained for the calculated formation energy is 32 meV/atom.


Entry 10:
Material: ErHfCdOs
Method: DFT, PBE
State: optimized geometry

a = 6.8698 Å, b = 6.8698 Å, c = 6.8698 Å
α = 90.00°, β = 90.00°, γ = 90.00°
Space group F-43m (No. 216)
Unique sites:
Er: 0.0000 0.0000 0.0000
Hf: 0.0000 0.0000 0.5000
Cd: 0.2500 0.2500 0.2500
Os: 0.2500 0.2500 0.7500

Summary:
The calculation puts the density of states at the Fermi level at 8.61 states/eV/cell. For the magnetic moment, the calculation gives 0.0 μB/cell. The value obtained for the calculated formation energy is -197 meV/atom.


Entry 11:
Material: ErHfCdPd
Method: DFT, PBE
State: optimized geometry

a = 6.9960 Å, b = 6.9960 Å, c = 6.9960 Å
α = 90.00°, β = 90.00°, γ = 90.00°
Space group F-43m (No. 216)
Unique sites:
Er: 0.0000 0.0000 0.0000
Hf: 0.0000 0.0000 0.5000
Cd: 0.2500 0.2500 0.7500
Pd: 0.2500 0.2500 0.2500

Summary:
The calculation puts the density of states at the Fermi level at 22.80 states/eV/cell. For the magnetic moment, the calculation gives 0.0 μB/cell. The value obtained for the calculated formation energy is -315 meV/atom.


Entry 12:
Material: ErHfCdRh
Method: DFT, PBE
State: optimized geometry

a = 6.9208 Å, b = 6.9208 Å, c = 6.9208 Å
α = 90.00°, β = 90.00°, γ = 90.00°
Space group F-43m (No. 216)
Unique sites:
Er: 0.0000 0.0000 0.0000
Hf: 0.0000 0.0000 0.5000
Cd: 0.2500 0.2500 0.7500
Rh: 0.2500 0.2500 0.2500

Summary:
The calculation puts the density of states at the Fermi level at 16.97 states/eV/cell. For the magnetic moment, the calculation gives 0.0 μB/cell. The value obtained for the calculated formation energy is -362 meV/atom.


Entry 13:
Material: ErHfCdTc
Method: DFT, PBE
State: optimized geometry

a = 6.8985 Å, b = 6.8985 Å, c = 6.8985 Å
α = 90.00°, β = 90.00°, γ = 90.00°
Space group F-43m (No. 216)
Unique sites:
Er: 0.0000 0.0000 0.0000
Hf: 0.0000 0.0000 0.5000
Cd: 0.2500 0.2500 0.7500
Tc: 0.2500 0.2500 0.2500

Summary:
The calculation puts the density of states at the Fermi level at 13.90 states/eV/cell. For the magnetic moment, the calculation gives 0.0 μB/cell. The value obtained for the calculated formation energy is -115 meV/atom.


Entry 14:
Material: ErHfTlCd
Method: DFT, PBE
State: optimized geometry

a = 7.2356 Å, b = 7.2356 Å, c = 7.2356 Å
α = 90.00°, β = 90.00°, γ = 90.00°
Space group F-43m (No. 216)
Unique sites:
Er: 0.0000 0.0000 0.0000
Hf: 0.0000 0.0000 0.5000
Tl: 0.2500 0.2500 0.7500
Cd: 0.2500 0.2500 0.2500

Summary:
The calculation puts the density of states at the Fermi level at 15.02 states/eV/cell. For the magnetic moment, the calculation gives 0.0 μB/cell. The value obtained for the calculated formation energy is -42 meV/atom.


Entry 15:
Material: ErHfZnCd
Method: DFT, PBE
State: optimized geometry

a = 7.0245 Å, b = 7.0245 Å, c = 7.0245 Å
α = 90.00°, β = 90.00°, γ = 90.00°
Space group F-43m (No. 216)
Unique sites:
Er: 0.0000 0.0000 0.0000
Hf: 0.0000 0.0000 0.5000
Zn: 0.2500 0.2500 0.2500
Cd: 0.2500 0.2500 0.7500

Summary:
The calculation puts the density of states at the Fermi level at 19.92 states/eV/cell. For the magnetic moment, the calculation gives 1.5 μB/cell. The value obtained for the calculated formation energy is -96 meV/atom.


Entry 16:
Material: Er4Cd3Hg2
Method: DFT, PBE
State: optimized geometry

a = 8.9131 Å, b = 5.1490 Å, c = 9.8012 Å
α = 90.00°, β = 90.06°, γ = 90.00°
Space group C2/m (No. 12)
Unique sites:
Er: 0.9998 0.0000 0.1716
Er: 0.1667 0.5000 0.6180
Cd: 0.0000 0.0000 0.5000
Cd: 0.1668 0.5000 0.9716
Hg: 0.1665 0.5000 0.3028

Summary:
The calculation puts the density of states at the Fermi level at 11.75 states/eV/cell. For the magnetic moment, the calculation gives 0.0 μB/cell. The value obtained for the calculated formation energy is -334 meV/atom.


Entry 17:
Material: ErCdHg
Method: DFT, PBE
State: optimized geometry

a = 3.4583 Å, b = 3.4583 Å, c = 12.1161 Å
α = 90.00°, β = 90.00°, γ = 90.00°
Space group I4mm (No. 107)
Unique sites:
Er: 0.0000 0.0000 0.0000
Cd: 0.0000 0.0000 0.3241
Hg: 0.0000 0.0000 0.6634

Summary:
The calculation puts the density of states at the Fermi level at 3.58 states/eV/cell. For the magnetic moment, the calculation gives 0.3 μB/cell. The value obtained for the calculated formation energy is -280 meV/atom.


Entry 18:
Material: Er4Cd3Hg
Method: DFT, PBE
State: optimized geometry

a = 3.6265 Å, b = 4.8642 Å, c = 11.7959 Å
α = 90.00°, β = 90.00°, γ = 90.00°
Space group Pmm2 (No. 25)
Unique sites:
Er: 0.0000 0.0000 0.0000
Er: 0.0000 0.5000 0.3135
Er: 0.5000 0.0000 0.4959
Er: 0.5000 0.5000 0.8168
Cd: 0.0000 0.0000 0.7311
Cd: 0.0000 0.5000 0.5818
Cd: 0.5000 0.5000 0.0811
Hg: 0.5000 0.0000 0.2354

Summary:
The calculation puts the density of states at the Fermi level at 7.16 states/eV/cell. The energy above the most stable polymorph in this dataset is 57 meV/atom. For the magnetic moment, the calculation gives 0.0 μB/cell. The value obtained for the calculated formation energy is -299 meV/atom.


Entry 19:
Material: ErCdHg6
Method: DFT, PBE
State: optimized geometry

a = 6.4034 Å, b = 6.4034 Å, c = 22.7058 Å
α = 90.00°, β = 90.00°, γ = 120.00°
Space group R-3m (No. 166, hexagonal axes)
Unique sites:
Er: 0.0000 0.0000 0.0000
Cd: 0.0000 0.0000 0.5000
Hg: 0.0138 0.5069 0.4343

Summary:
The calculation puts the density of states at the Fermi level at 10.04 states/eV/cell. The energy above the most stable polymorph in this dataset is 213 meV/atom. For the magnetic moment, the calculation gives 0.0 μB/cell. The value obtained for the calculated formation energy is 76 meV/atom.


Entry 20:
Material: Er2CdHg2
Method: DFT, PBE
State: optimized geometry

a = 8.0261 Å, b = 8.0261 Å, c = 3.8997 Å
α = 90.00°, β = 90.00°, γ = 90.00°
Space group P4/mbm (No. 127)
Unique sites:
Er: 0.1672 0.3328 0.0000
Cd: 0.0000 0.0000 0.5000
Hg: 0.1327 0.6327 0.5000

Summary:
The calculation puts the density of states at the Fermi level at 6.65 states/eV/cell. The energy above the most stable polymorph in this dataset is 2 meV/atom. For the magnetic moment, the calculation gives 0.0 μB/cell. The value obtained for the calculated formation energy is -394 meV/atom.